CrFeMoS2: relaxed, GGA-PBE.

## Properties
**Space group**: P4/mmm, No. 123
**Formation energy (no corrections)**: 94.33 kJ per mole of atoms
**Total energy**: -6.4567 eV per atom
**Fermi-level density of states**: 7.10 states/eV per cell
**Total moment**: 2.6 μB per formula unit

Structure (POSCAR):
```
CrFeMoS2
1.0
4.344 0.000 0.000
0.000 4.662 0.000
0.000 0.000 4.344
Mo Cr Fe S
1 1 1 2
Cartesian
0.000 2.331 0.000
0.000 0.000 0.000
2.172 2.331 2.172
2.172 0.000 0.000
0.000 0.000 2.172
```